Record 1
NdGa3Pd3: optimized geometry, PBE.

Structure (extended XYZ):
```
14
Lattice="6.933 0.000 0.000 3.467 6.004 0.000 3.467 2.001 6.270" Properties=species:S:1:pos:R:3 pbc="T T T"
Pd 5.117 2.043 4.911
Pd 9.538 3.410 4.911
Pd 4.328 4.595 1.358
Nd 6.933 4.003 0.108
Pd 8.749 5.962 1.358
Ga 9.123 3.519 2.347
Pd 7.722 1.451 1.358
Ga 4.743 4.486 3.923
Ga 6.257 6.141 2.347
Ga 8.447 5.658 3.923
Ga 7.609 1.864 3.923
Pd 6.144 6.555 4.911
Ga 5.419 2.348 2.347
Nd 6.933 4.003 6.162
```

**Formation energy**: -609 meV/atom
**Space group**: R-3, No. 148
**Crystal system**: trigonal
**Distance to the lowest polymorph of the same formula**: 95 meV/atom
**DOS(E_F)**: 0.34 states/eV per atom


Record 2
Pm3Sm2ThSe6: optimized geometry, PBE.

Structure (extended XYZ):
```
12
Lattice="-1.596 2.744 -2.725 -7.444 -3.868 0.466 0.279 4.886 7.969" Properties=species:S:1:pos:R:3 pbc="T T T"
Sm -6.130 2.972 3.373
Pm -6.382 -1.160 2.571
Sm -2.632 0.789 2.337
Se -3.456 2.536 4.579
Se -1.883 -0.972 0.125
Se -7.153 0.615 4.811
Pm -2.381 4.922 3.139
Se -5.307 1.225 1.131
Pm -4.520 -0.562 -1.129
Th -0.798 1.372 -1.362
Se -6.879 4.733 5.585
Se -1.609 3.146 0.900
```

**Space group**: C2/m, No. 12
**Formation energy from raw total energies**: -2052 kJ/mol of formula units
**Crystal system**: monoclinic
**DOS(E_F)**: 0.56 states/eV per atom


Record 3
MgMnIr: optimized geometry, PBE.

Structure (extended XYZ):
```
6
Lattice="3.895 0.000 0.000 1.947 5.720 0.000 0.000 0.000 3.908" Properties=species:S:1:pos:R:3 pbc="T T T"
Mg 2.556 1.094 1.934
Mn 2.555 3.300 3.888
Ir 4.503 3.074 1.934
Ir 2.555 4.833 1.934
Mn 4.503 4.607 3.887
Mg 0.608 1.094 3.888
```

**Formation energy**: -39 meV/atom
**Space group**: Cmmm, No. 65
**Crystal system**: orthorhombic
**DOS(E_F)**: 0.62 states/eV per atom


Record 4
Ca2AcTe3: optimized geometry, PBE.

Structure (extended XYZ):
```
6
Lattice="4.568 0.000 0.000 0.000 6.550 0.000 -2.284 -3.275 6.902" Properties=species:S:1:pos:R:3 pbc="T T T"
Te -1.142 1.638 5.883
Te 1.142 -1.638 3.451
Ca 3.426 4.913 1.170
Ca -1.142 -1.638 5.732
Ac 1.142 1.638 3.451
Te 3.426 1.638 1.018
```

**Space group**: Immm, No. 71
**Formation energy from raw total energies**: -905 kJ/mol of formula units
**Crystal system**: orthorhombic
**DOS(E_F)**: 0.34 states/eV per atom


Record 5
La2Ho2Tm: optimized geometry, PBE.

Structure (extended XYZ):
```
5
Lattice="-5.185 2.248 0.639 -4.462 -2.905 -2.000 -3.452 -2.931 4.779" Properties=species:S:1:pos:R:3 pbc="T T T"
Tm -2.231 -1.452 -1.000
Ho -7.536 -0.772 2.669
La -8.841 -4.089 2.339
La -4.258 0.501 1.079
Ho -5.562 -2.815 0.749
```

**Formation energy**: 102 meV/atom
**Space group**: C2/m, No. 12
**Crystal system**: monoclinic
**Distance to the lowest polymorph of the same formula**: 68 meV/atom
**DOS(E_F)**: 1.91 states/eV per atom


Record 6
Rb2PdPt: optimized geometry, PBE.

Structure (extended XYZ):
```
8
Lattice="4.490 0.000 0.000 0.000 4.490 0.000 2.245 2.245 10.961" Properties=species:S:1:pos:R:3 pbc="T T T"
Rb 5.613 5.605 8.221
Rb 1.130 3.368 2.740
Pt 0.000 0.000 0.000
Rb 3.368 3.375 8.221
Pt 4.490 2.245 5.481
Rb 3.360 1.123 2.740
Pd 2.245 4.490 5.481
Pd 2.245 2.245 0.000
```

**Formation energy**: 583 meV/atom
**Space group**: I-42d, No. 122
**Crystal system**: tetragonal
**Distance to the lowest polymorph of the same formula**: 65 meV/atom
**DOS(E_F)**: 0.36 states/eV per atom


Record 7
SrFe2Ag: optimized geometry, PBE.

Structure (extended XYZ):
```
8
Lattice="-2.996 -3.440 -0.265 1.689 -1.156 -4.086 5.543 -8.016 2.003" Properties=species:S:1:pos:R:3 pbc="T T T"
Sr 3.289 -5.735 -2.129
Fe -1.025 -5.158 -0.242
Fe -0.181 -5.737 -2.285
Fe 1.746 -9.167 0.760
Sr -0.654 -2.298 -2.176
Ag 0.946 -6.877 -0.219
Fe 3.245 -7.447 0.892
Ag 0.000 0.000 0.000
```

**Formation energy**: 606 meV/atom
**Space group**: I4_1/amd, No. 141
**Crystal system**: tetragonal
**DOS(E_F)**: 0.91 states/eV per atom


Record 8
YTlV3: optimized geometry, PBE.

Structure (extended XYZ):
```
5
Lattice="5.099 0.000 0.000 0.000 5.099 0.000 0.000 0.000 5.099" Properties=species:S:1:pos:R:3 pbc="T T T"
V 0.000 0.000 2.550
V 2.550 0.000 0.000
V 0.000 2.550 0.000
Tl 0.000 0.000 0.000
Y 2.550 2.550 2.550
```

**Formation energy**: 1397 meV/atom
**Space group**: Pm-3m, No. 221
**Crystal system**: cubic
**Distance to the lowest polymorph of the same formula**: 0 meV/atom
**DOS(E_F)**: 1.48 states/eV per atom